Te2Pt4I: relaxed, PBE.

Cell: 5.178 5.178 7.618 Å, 70.13 70.13 90.00°
Sites, in units of the cell vectors:
Pt 0.196 0.196 0.608
Te 0.619 0.619 0.762
I 0.000 0.000 0.000
Pt 0.500 0.000 0.000
Pt 0.804 0.804 0.392
Pt 0.000 0.500 0.000
Te 0.381 0.381 0.238

Computed properties:
Its volume is 25.59 Å³ per atom. The value obtained for the uncorrected formation energy is 667.9 meV/atom. The crystal system is tetragonal.

TlZnSnPb: relaxed, PBE.

Cell: 5.359 5.359 5.359 Å, 60.00 60.00 60.00°
Sites, in units of the cell vectors:
Pb 0.500 0.500 0.500
Tl 0.000 0.000 0.000
Zn 0.750 0.750 0.750
Sn 0.250 0.250 0.250

Computed properties:
Its volume is 27.20 Å³ per atom. The energy above the most stable polymorph in this dataset comes out at 37 meV/atom. The crystal system is cubic. The calculation puts the formation energy at 48 kJ/mol of formula units.

Cs3Ac2SnSe6: relaxed, PBE.

Cell: 7.857 7.857 8.826 Å, 98.54 98.54 120.01°
Sites, in units of the cell vectors:
Se 0.618 0.936 0.807
Cs 0.832 0.168 0.500
Se 0.747 0.747 0.194
Se 0.936 0.618 0.807
Ac 0.333 0.667 0.000
Se 0.253 0.253 0.806
Cs 0.500 0.500 0.500
Sn 0.000 0.000 0.000
Se 0.382 0.064 0.193
Cs 0.168 0.832 0.500
Ac 0.667 0.333 0.000
Se 0.064 0.382 0.193

Computed properties:
Its volume is 37.55 Å³ per atom. The value obtained for the uncorrected formation energy is -1405.6 meV/atom. The crystal system is monoclinic.